Compound: Ti3VSn2P6O24
Source: the Alexandria database
Functional: GGA+U
Structure: relaxed

Output
Electronic total energy = -7.638 eV per atom

Unit cell a=9.2294 b=9.2294 c=9.2294 alpha=55.13 beta=55.13 gamma=55.13
Site moments in Bohr magnetons follow the coordinates.
Sites, in units of the cell vectors:
O 0.9315 0.2950 0.0364  -0.01
O 0.6395 0.0107 0.7616  0.00
O 0.4213 0.2304 0.5803  0.00
O 0.0568 0.6992 0.9506  0.00
O 0.9506 0.0568 0.6992  0.00
O 0.7616 0.6395 0.0107  0.00
O 0.2950 0.0364 0.9315  -0.01
O 0.2702 0.5084 0.1327  -0.01
O 0.3588 0.9650 0.2737  -0.01
O 0.5084 0.1327 0.2702  -0.01
O 0.0364 0.9315 0.2950  -0.01
O 0.2737 0.3588 0.9650  -0.01
O 0.6133 0.7763 0.4071  0.00
O 0.0107 0.7616 0.6395  0.00
O 0.5803 0.4213 0.2304  0.00
O 0.2304 0.5803 0.4213  0.00
O 0.5115 0.8833 0.6894  0.00
O 0.1327 0.2702 0.5084  -0.01
O 0.7763 0.4071 0.6133  0.00
O 0.9650 0.2737 0.3588  -0.01
O 0.4071 0.6133 0.7763  0.00
O 0.6894 0.5115 0.8833  0.00
O 0.6992 0.9506 0.0568  0.00
O 0.8833 0.6894 0.5115  0.00
P 0.2519 0.5386 0.9561  0.01
P 0.7434 0.4711 0.0348  0.00
P 0.4711 0.0348 0.7434  0.00
P 0.0348 0.7434 0.4711  0.00
P 0.5386 0.9561 0.2519  0.01
P 0.9561 0.2519 0.5386  0.01
Sn 0.4839 0.4839 0.4839  0.00
Sn 0.0200 0.0200 0.0200  0.00
Ti 0.8540 0.8540 0.8540  0.09
Ti 0.3438 0.3438 0.3438  0.22
Ti 0.6467 0.6467 0.6467  0.03
V 0.1528 0.1528 0.1528  2.62